A plane-wave DFT calculation with PBE was carried out for a relaxed structure of GdDyTm2.

Its density of states at the Fermi level is 6.71 states/eV/f.u. The formation energy is 0.024 eV per atom. For the total energy, the calculation gives -6.882 eV per atom.

The space group is P4/mmm (No. 123) and the conventional cell measures 4.991, 4.991 and 4.958 Å, with angles of 90.00, 90.00 and 90.00 degrees. The distinct sites, in fractional coordinates, are Gd at (0.000, 0.000, 0.000), Dy at (0.500, 0.500, 0.000) and Tm at (0.000, 0.500, 0.500).